a.
DFT (GGA-PBE) results for crystalline PmGdEr at its relaxed geometry.

D(E_F) (states/eV per cell): 11.1

Cell lengths 4.161, 4.161, 11.394 Å; angles 90.00, 90.00, 90.00 degrees
Space group I4mm (No. 107)
Inequivalent atoms, fractional coordinates:
Pm1 0.000 0.000 0.000 (multiplicity 2)
Gd1 0.000 0.000 0.674 (multiplicity 2)
Er1 0.000 0.000 0.332 (multiplicity 2)

b.
DFT (GGA-PBE) results for crystalline PmGdEr at its relaxed geometry.

D(E_F) (states/eV per cell): 5.4

Cell lengths 5.6569, 5.6569, 3.5095 Å; angles 90.00, 90.00, 120.00 degrees
Space group P-6m2 (No. 187)
Inequivalent atoms, fractional coordinates:
Pm1 0.0000 0.0000 0.0000 (multiplicity 1)
Gd1 0.6667 0.3333 0.5000 (multiplicity 1)
Er1 0.3333 0.6667 0.0000 (multiplicity 1)

Which is the most stable structure? b is the most stable.

a.
DFT (GGA-PBE) results for crystalline PrGd2Er at its relaxed geometry.

D(E_F) (states/eV per cell): 20.9

Cell lengths 3.5971, 3.5971, 35.2347 Å; angles 90.00, 90.00, 120.00 degrees
Space group R-3m (No. 166, hexagonal axes)
Inequivalent atoms, fractional coordinates:
Pr1 0.0000 0.0000 0.0000 (multiplicity 3)
Gd1 0.0000 0.0000 0.2480 (multiplicity 6)
Er1 0.0000 0.0000 0.5000 (multiplicity 3)

b.
DFT (GGA-PBE) results for crystalline PrGd2Er at its relaxed geometry.

D(E_F) (states/eV per cell): 24.2

Cell lengths 8.083, 8.083, 8.083 Å; angles 90.00, 90.00, 90.00 degrees
Space group Fm-3m (No. 225)
Inequivalent atoms, fractional coordinates:
Pr1 0.000 0.000 0.000 (multiplicity 4)
Gd1 0.250 0.250 0.250 (multiplicity 8)
Er1 0.000 0.000 0.500 (multiplicity 4)

Which is the most stable structure? a is the most stable.